Entry 1:
Material: Ho2ZnTe
Method: DFT, GGA-PBE
State: optimized geometry

Summary:
space group	No. 123
calculated density	8.805	g/cm3
formation energy from raw total energies	-659.8	meV per atom
uncorrected energy	-4.05	eV/atom
N(E_F)	0.801	states/eV/atom
total magnetic moment	0.0	μB/f.u.

Cell and atoms, written as extended XYZ:
```
4
Lattice="3.805 0.000 0.000 0.000 3.805 0.000 0.000 0.000 6.809" Properties=species:S:1:pos:R:3 pbc="T T T"
Ho 0.000 0.000 1.643
Ho 0.000 0.000 5.166
Zn 1.903 1.903 0.000
Te 1.903 1.903 3.405
```

Entry 2:
Material: KTaTc2
Method: DFT, GGA-PBE
State: optimized geometry

Summary:
space group	No. 35
E_form	0.7255	eV/atom
calculated density	8.955	g/cm3
uncorrected energy	-7.69	eV/atom
N(E_F)	0.931	states/eV/atom
total magnetic moment	0.0	μB/f.u.

Cell and atoms, written as extended XYZ:
```
4
Lattice="1.555 -2.356 0.000 1.555 2.356 0.000 0.000 0.000 10.530" Properties=species:S:1:pos:R:3 pbc="T T T"
K 0.000 0.000 0.000
Ta 1.555 0.000 3.328
Tc 0.000 0.000 5.493
Tc 1.555 0.000 7.576
```

Entry 3:
Material: PrGaCuNi3
Method: DFT, GGA-PBE
State: optimized geometry

Summary:
space group	No. 63
E_form	-0.1302	eV/atom
calculated density	7.639	g/cm3
uncorrected energy	-5.00	eV/atom
N(E_F)	0.747	states/eV/atom
total magnetic moment	0.0	μB/f.u.

Cell and atoms, written as extended XYZ:
```
12
Lattice="2.548 -7.141 0.000 2.548 7.141 0.000 0.000 0.000 5.380" Properties=species:S:1:pos:R:3 pbc="T T T"
Pr 2.548 4.417 4.035
Pr 2.548 -4.417 1.345
Ga 2.548 5.593 1.345
Ga 2.548 -5.593 4.035
Cu 2.548 1.602 4.035
Cu 2.548 -1.602 1.345
Ni 1.271 0.000 0.000
Ni 1.271 0.000 2.690
Ni 2.548 1.680 1.345
Ni 2.548 -1.680 4.035
Ni 3.825 0.000 0.000
Ni 3.825 0.000 2.690
```

Entry 4:
Material: CuRuBr
Method: DFT, GGA-PBE
State: optimized geometry

Summary:
space group	No. 216
calculated density	7.420	g/cm3
formation energy from raw total energies	856.5	meV per atom
uncorrected energy	-4.16	eV/atom
N(E_F)	0.828	states/eV/atom
total magnetic moment	1.5	μB/f.u.

Cell and atoms, written as extended XYZ:
```
3
Lattice="0.000 3.013 3.013 3.013 0.000 3.013 3.013 3.013 0.000" Properties=species:S:1:pos:R:3 pbc="T T T"
Cu 0.000 0.000 0.000
Ru 1.507 1.507 1.507
Br 3.013 3.013 3.013
```

> Look up the uncorrected energy of the third one.

-5.00 eV/atom